Entry 1:
{
  "formula": "CsMgTaPt",
  "functional": "GGA-PBE",
  "state": "optimized geometry",
  "cell": [[6.963, 0.000, 0.000], [0.000, 6.963, 0.000], [0.000, 0.000, 6.963]],
  "species": ["Cs", "Cs", "Cs", "Cs", "Mg", "Mg", "Mg", "Mg", "Ta", "Ta", "Ta", "Ta", "Pt", "Pt", "Pt", "Pt"],
  "frac_coords": [[0.000, 0.000, 0.000], [0.000, 0.500, 0.500], [0.500, 0.000, 0.500], [0.500, 0.500, 0.000], [0.250, 0.250, 0.250], [0.250, 0.750, 0.750], [0.750, 0.250, 0.750], [0.750, 0.750, 0.250], [0.250, 0.250, 0.750], [0.250, 0.750, 0.250], [0.750, 0.250, 0.250], [0.750, 0.750, 0.750], [0.000, 0.000, 0.500], [0.000, 0.500, 0.000], [0.500, 0.000, 0.000], [0.500, 0.500, 0.500]],
  "relative_energy_mev_per_atom": 0.0,
  "dft_energy_ev_per_atom": -4.19,
  "space_group": "F-43m",
  "magnetic_moment_mub_per_fu": 0.00
}

Entry 2:
{
  "formula": "CsMgTaPt",
  "functional": "GGA-PBE",
  "state": "optimized geometry",
  "cell": [[7.268, 0.000, 0.000], [0.000, 7.268, 0.000], [0.000, 0.000, 7.268]],
  "species": ["Cs", "Cs", "Cs", "Cs", "Mg", "Mg", "Mg", "Mg", "Ta", "Ta", "Ta", "Ta", "Pt", "Pt", "Pt", "Pt"],
  "frac_coords": [[0.000, 0.000, 0.000], [0.000, 0.500, 0.500], [0.500, 0.000, 0.500], [0.500, 0.500, 0.000], [0.250, 0.250, 0.750], [0.250, 0.750, 0.250], [0.750, 0.250, 0.250], [0.750, 0.750, 0.750], [0.000, 0.000, 0.500], [0.000, 0.500, 0.000], [0.500, 0.000, 0.000], [0.500, 0.500, 0.500], [0.250, 0.250, 0.250], [0.250, 0.750, 0.750], [0.750, 0.250, 0.750], [0.750, 0.750, 0.250]],
  "relative_energy_mev_per_atom": 321.9,
  "dft_energy_ev_per_atom": -3.87,
  "space_group": "F-43m",
  "magnetic_moment_mub_per_fu": 1.75
}

Entry 3:
{
  "formula": "CsMgTaPt",
  "functional": "GGA-PBE",
  "state": "optimized geometry",
  "cell": [[7.047, 0.000, 0.000], [0.000, 7.047, 0.000], [0.000, 0.000, 7.047]],
  "species": ["Cs", "Cs", "Cs", "Cs", "Mg", "Mg", "Mg", "Mg", "Ta", "Ta", "Ta", "Ta", "Pt", "Pt", "Pt", "Pt"],
  "frac_coords": [[0.000, 0.000, 0.000], [0.000, 0.500, 0.500], [0.500, 0.000, 0.500], [0.500, 0.500, 0.000], [0.000, 0.000, 0.500], [0.000, 0.500, 0.000], [0.500, 0.000, 0.000], [0.500, 0.500, 0.500], [0.250, 0.250, 0.250], [0.250, 0.750, 0.750], [0.750, 0.250, 0.750], [0.750, 0.750, 0.250], [0.250, 0.250, 0.750], [0.250, 0.750, 0.250], [0.750, 0.250, 0.250], [0.750, 0.750, 0.750]],
  "relative_energy_mev_per_atom": 422.9,
  "dft_energy_ev_per_atom": -3.77,
  "space_group": "F-43m",
  "magnetic_moment_mub_per_fu": 0.21
}

Entry 4:
{
  "formula": "CsPuMg",
  "functional": "GGA-PBE",
  "state": "optimized geometry",
  "cell": [[8.106, 0.000, 0.000], [0.000, 8.106, 0.000], [0.000, 0.000, 8.106]],
  "species": ["Cs", "Cs", "Cs", "Cs", "Pu", "Pu", "Pu", "Pu", "Mg", "Mg", "Mg", "Mg"],
  "frac_coords": [[0.000, 0.000, 0.000], [0.000, 0.500, 0.500], [0.500, 0.000, 0.500], [0.500, 0.500, 0.000], [0.250, 0.250, 0.250], [0.250, 0.750, 0.750], [0.750, 0.250, 0.750], [0.750, 0.750, 0.250], [0.250, 0.250, 0.750], [0.250, 0.750, 0.250], [0.750, 0.250, 0.250], [0.750, 0.750, 0.750]],
  "relative_energy_mev_per_atom": 291.0,
  "dft_energy_ev_per_atom": -4.37,
  "space_group": "F-43m",
  "magnetic_moment_mub_per_fu": 7.15
}

Entry 5:
{
  "formula": "CsPuMg",
  "functional": "GGA-PBE",
  "state": "optimized geometry",
  "cell": [[8.610, 0.000, 0.000], [0.000, 8.610, 0.000], [0.000, 0.000, 8.610]],
  "species": ["Cs", "Cs", "Cs", "Cs", "Pu", "Pu", "Pu", "Pu", "Mg", "Mg", "Mg", "Mg"],
  "frac_coords": [[0.000, 0.000, 0.000], [0.000, 0.500, 0.500], [0.500, 0.000, 0.500], [0.500, 0.500, 0.000], [0.000, 0.000, 0.500], [0.000, 0.500, 0.000], [0.500, 0.000, 0.000], [0.500, 0.500, 0.500], [0.250, 0.250, 0.250], [0.250, 0.750, 0.750], [0.750, 0.250, 0.750], [0.750, 0.750, 0.250]],
  "relative_energy_mev_per_atom": 0.0,
  "dft_energy_ev_per_atom": -4.66,
  "space_group": "F-43m",
  "magnetic_moment_mub_per_fu": 7.00
}

Entry 6:
{
  "formula": "CsMgRe",
  "functional": "GGA-PBE",
  "state": "optimized geometry",
  "cell": [[7.136, 0.000, 0.000], [0.000, 7.136, 0.000], [0.000, 0.000, 7.136]],
  "species": ["Cs", "Cs", "Cs", "Cs", "Mg", "Mg", "Mg", "Mg", "Re", "Re", "Re", "Re"],
  "frac_coords": [[0.000, 0.000, 0.000], [0.000, 0.500, 0.500], [0.500, 0.000, 0.500], [0.500, 0.500, 0.000], [0.000, 0.000, 0.500], [0.000, 0.500, 0.000], [0.500, 0.000, 0.000], [0.500, 0.500, 0.500], [0.250, 0.250, 0.250], [0.250, 0.750, 0.750], [0.750, 0.250, 0.750], [0.750, 0.750, 0.250]],
  "dft_energy_ev_per_atom": -2.99,
  "space_group": "F-43m",
  "magnetic_moment_mub_per_fu": 2.00
}

Entry 7:
{
  "formula": "CsTbMg",
  "functional": "GGA-PBE",
  "state": "optimized geometry",
  "cell": [[8.387, 0.000, 0.000], [0.000, 8.387, 0.000], [0.000, 0.000, 8.387]],
  "species": ["Cs", "Cs", "Cs", "Cs", "Tb", "Tb", "Tb", "Tb", "Mg", "Mg", "Mg", "Mg"],
  "frac_coords": [[0.000, 0.000, 0.000], [0.000, 0.500, 0.500], [0.500, 0.000, 0.500], [0.500, 0.500, 0.000], [0.000, 0.000, 0.500], [0.000, 0.500, 0.000], [0.500, 0.000, 0.000], [0.500, 0.500, 0.500], [0.250, 0.250, 0.250], [0.250, 0.750, 0.750], [0.750, 0.250, 0.750], [0.750, 0.750, 0.250]],
  "dft_energy_ev_per_atom": -1.51,
  "space_group": "F-43m",
  "magnetic_moment_mub_per_fu": 0.92
}

Entry 8:
{
  "formula": "CsTmMgTe3",
  "functional": "GGA-PBE",
  "state": "optimized geometry",
  "cell": [[17.533, 0.000, 0.000], [0.000, 4.517, 0.000], [0.000, 0.000, 11.948]],
  "species": ["Cs", "Cs", "Cs", "Cs", "Tm", "Tm", "Tm", "Tm", "Mg", "Mg", "Mg", "Mg", "Te", "Te", "Te", "Te", "Te", "Te", "Te", "Te", "Te", "Te", "Te", "Te"],
  "frac_coords": [[0.238, 0.250, 0.037], [0.262, 0.750, 0.537], [0.738, 0.250, 0.463], [0.762, 0.750, 0.963], [0.021, 0.250, 0.352], [0.479, 0.750, 0.852], [0.521, 0.250, 0.148], [0.979, 0.750, 0.648], [0.016, 0.750, 0.100], [0.484, 0.250, 0.600], [0.516, 0.750, 0.400], [0.984, 0.250, 0.900], [0.079, 0.750, 0.879], [0.088, 0.250, 0.582], [0.127, 0.750, 0.263], [0.373, 0.250, 0.763], [0.412, 0.750, 0.082], [0.421, 0.250, 0.379], [0.579, 0.750, 0.621], [0.588, 0.250, 0.918], [0.627, 0.750, 0.237], [0.873, 0.250, 0.737], [0.912, 0.750, 0.418], [0.921, 0.250, 0.121]],
  "dft_energy_ev_per_atom": -3.93,
  "space_group": "Pnma",
  "magnetic_moment_mub_per_fu": 0.00
}

Entry 9:
{
  "formula": "Cs2Mg2Zn3",
  "functional": "GGA-PBE",
  "state": "optimized geometry",
  "cell": [[2.384, 1.376, 12.364], [-2.384, 1.376, 12.364], [0.000, -2.752, 12.364]],
  "species": ["Cs", "Cs", "Mg", "Mg", "Zn", "Zn", "Zn"],
  "frac_coords": [[0.000, 0.000, 0.000], [0.496, 0.496, 0.496], [0.248, 0.248, 0.248], [0.746, 0.746, 0.746], [0.401, 0.401, 0.401], [0.590, 0.590, 0.590], [0.906, 0.906, 0.906]],
  "dft_energy_ev_per_atom": -1.09,
  "space_group": "R3m"
}

Entry 10:
{
  "formula": "CsMo2",
  "functional": "GGA-PBE",
  "state": "optimized geometry",
  "cell": [[0.000, 4.062, 4.062], [4.062, 0.000, 4.062], [4.062, 4.062, 0.000]],
  "species": ["Cs", "Cs", "Mo", "Mo", "Mo", "Mo"],
  "frac_coords": [[0.125, 0.125, 0.125], [0.875, 0.875, 0.875], [0.000, 0.500, 0.500], [0.500, 0.000, 0.500], [0.500, 0.500, 0.000], [0.500, 0.500, 0.500]],
  "relative_energy_mev_per_atom": 0.0,
  "dft_energy_ev_per_atom": -5.65,
  "space_group": "Fd-3m",
  "magnetic_moment_mub_per_fu": 0.01
}

Entry 11:
{
  "formula": "CsMo2",
  "functional": "GGA-PBE",
  "state": "optimized geometry",
  "cell": [[0.000, 6.096, 6.096], [6.096, 0.000, 6.096], [6.096, 6.096, 0.000]],
  "species": ["Cs", "Cs", "Mo", "Mo", "Mo", "Mo"],
  "frac_coords": [[0.125, 0.125, 0.125], [0.875, 0.875, 0.875], [0.000, 0.000, 0.000], [0.000, 0.000, 0.500], [0.000, 0.500, 0.000], [0.500, 0.000, 0.000]],
  "relative_energy_mev_per_atom": 2926.0,
  "dft_energy_ev_per_atom": -2.73,
  "space_group": "Fd-3m",
  "magnetic_moment_mub_per_fu": 7.00
}

Entry 12:
{
  "formula": "CsMo",
  "functional": "GGA-PBE",
  "state": "optimized geometry",
  "cell": [[3.161, 0.000, 0.000], [-1.580, 2.737, 0.000], [0.000, 0.000, 6.362]],
  "species": ["Cs", "Mo"],
  "frac_coords": [[0.000, 0.000, 0.000], [0.667, 0.333, 0.500]],
  "relative_energy_mev_per_atom": 0.0,
  "dft_energy_ev_per_atom": -3.64,
  "space_group": "P-6m2",
  "magnetic_moment_mub_per_fu": 0.68
}

Entry 13:
{
  "formula": "CsMo",
  "functional": "GGA-PBE",
  "state": "optimized geometry",
  "cell": [[7.984, 0.000, 0.000], [0.000, 7.984, 0.000], [0.000, 0.000, 7.984]],
  "species": ["Cs", "Cs", "Cs", "Cs", "Mo", "Mo", "Mo", "Mo"],
  "frac_coords": [[0.000, 0.000, 0.000], [0.000, 0.500, 0.500], [0.500, 0.000, 0.500], [0.500, 0.500, 0.000], [0.000, 0.000, 0.500], [0.000, 0.500, 0.000], [0.500, 0.000, 0.000], [0.500, 0.500, 0.500]],
  "relative_energy_mev_per_atom": 316.4,
  "dft_energy_ev_per_atom": -3.33,
  "space_group": "Fm-3m",
  "magnetic_moment_mub_per_fu": 5.04
}

Entry 14:
{
  "formula": "CsMo3N5",
  "functional": "GGA-PBE",
  "state": "optimized geometry",
  "cell": [[5.233, 0.000, 0.000], [-2.616, 4.532, 0.000], [0.000, 0.000, 6.507]],
  "species": ["Cs", "Mo", "Mo", "Mo", "N", "N", "N", "N", "N"],
  "frac_coords": [[0.000, 0.000, 0.000], [0.000, 0.500, 0.500], [0.500, 0.000, 0.500], [0.500, 0.500, 0.500], [0.000, 0.000, 0.500], [0.333, 0.667, 0.290], [0.333, 0.667, 0.710], [0.667, 0.333, 0.290], [0.667, 0.333, 0.710]],
  "dft_energy_ev_per_atom": -7.85,
  "space_group": "P6/mmm",
  "magnetic_moment_mub_per_fu": 0.01
}

Entry 15:
{
  "formula": "CsNaMo",
  "functional": "GGA-PBE",
  "state": "optimized geometry",
  "cell": [[8.311, 0.000, 0.000], [0.000, 8.311, 0.000], [0.000, 0.000, 8.311]],
  "species": ["Cs", "Cs", "Cs", "Cs", "Na", "Na", "Na", "Na", "Mo", "Mo", "Mo", "Mo"],
  "frac_coords": [[0.000, 0.000, 0.000], [0.000, 0.500, 0.500], [0.500, 0.000, 0.500], [0.500, 0.500, 0.000], [0.250, 0.250, 0.250], [0.250, 0.750, 0.750], [0.750, 0.250, 0.750], [0.750, 0.750, 0.250], [0.000, 0.000, 0.500], [0.000, 0.500, 0.000], [0.500, 0.000, 0.000], [0.500, 0.500, 0.500]],
  "dft_energy_ev_per_atom": -2.66,
  "space_group": "F-43m",
  "magnetic_moment_mub_per_fu": 4.69
}

Entry 16:
{
  "formula": "CsNaNiMo",
  "functional": "GGA-PBE",
  "state": "optimized geometry",
  "cell": [[7.446, 0.000, 0.000], [0.000, 7.446, 0.000], [0.000, 0.000, 7.446]],
  "species": ["Cs", "Cs", "Cs", "Cs", "Na", "Na", "Na", "Na", "Ni", "Ni", "Ni", "Ni", "Mo", "Mo", "Mo", "Mo"],
  "frac_coords": [[0.000, 0.000, 0.000], [0.000, 0.500, 0.500], [0.500, 0.000, 0.500], [0.500, 0.500, 0.000], [0.250, 0.250, 0.750], [0.250, 0.750, 0.250], [0.750, 0.250, 0.250], [0.750, 0.750, 0.750], [0.250, 0.250, 0.250], [0.250, 0.750, 0.750], [0.750, 0.250, 0.750], [0.750, 0.750, 0.250], [0.000, 0.000, 0.500], [0.000, 0.500, 0.000], [0.500, 0.000, 0.000], [0.500, 0.500, 0.500]],
  "relative_energy_mev_per_atom": 0.0,
  "dft_energy_ev_per_atom": -3.14,
  "space_group": "F-43m",
  "magnetic_moment_mub_per_fu": 4.48
}

Entry 17:
{
  "formula": "CsNaNiMo",
  "functional": "GGA-PBE",
  "state": "optimized geometry",
  "cell": [[7.204, 0.000, 0.000], [0.000, 7.204, 0.000], [0.000, 0.000, 7.204]],
  "species": ["Cs", "Cs", "Cs", "Cs", "Na", "Na", "Na", "Na", "Ni", "Ni", "Ni", "Ni", "Mo", "Mo", "Mo", "Mo"],
  "frac_coords": [[0.000, 0.000, 0.000], [0.000, 0.500, 0.500], [0.500, 0.000, 0.500], [0.500, 0.500, 0.000], [0.250, 0.250, 0.250], [0.250, 0.750, 0.750], [0.750, 0.250, 0.750], [0.750, 0.750, 0.250], [0.000, 0.000, 0.500], [0.000, 0.500, 0.000], [0.500, 0.000, 0.000], [0.500, 0.500, 0.500], [0.250, 0.250, 0.750], [0.250, 0.750, 0.250], [0.750, 0.250, 0.250], [0.750, 0.750, 0.750]],
  "relative_energy_mev_per_atom": 24.9,
  "dft_energy_ev_per_atom": -3.12,
  "space_group": "F-43m",
  "magnetic_moment_mub_per_fu": 3.88
}

Entry 18:
{
  "formula": "CsNaMoPt",
  "functional": "GGA-PBE",
  "state": "optimized geometry",
  "cell": [[7.206, 0.000, 0.000], [0.000, 7.206, 0.000], [0.000, 0.000, 7.206]],
  "species": ["Cs", "Cs", "Cs", "Cs", "Na", "Na", "Na", "Na", "Mo", "Mo", "Mo", "Mo", "Pt", "Pt", "Pt", "Pt"],
  "frac_coords": [[0.000, 0.000, 0.000], [0.000, 0.500, 0.500], [0.500, 0.000, 0.500], [0.500, 0.500, 0.000], [0.250, 0.250, 0.250], [0.250, 0.750, 0.750], [0.750, 0.250, 0.750], [0.750, 0.750, 0.250], [0.250, 0.250, 0.750], [0.250, 0.750, 0.250], [0.750, 0.250, 0.250], [0.750, 0.750, 0.750], [0.000, 0.000, 0.500], [0.000, 0.500, 0.000], [0.500, 0.000, 0.000], [0.500, 0.500, 0.500]],
  "relative_energy_mev_per_atom": 0.0,
  "dft_energy_ev_per_atom": -3.64,
  "space_group": "F-43m",
  "magnetic_moment_mub_per_fu": 3.71
}

Entry 19:
{
  "formula": "CsNaMoPt",
  "functional": "GGA-PBE",
  "state": "optimized geometry",
  "cell": [[7.527, 0.000, 0.000], [0.000, 7.527, 0.000], [0.000, 0.000, 7.527]],
  "species": ["Cs", "Cs", "Cs", "Cs", "Na", "Na", "Na", "Na", "Mo", "Mo", "Mo", "Mo", "Pt", "Pt", "Pt", "Pt"],
  "frac_coords": [[0.000, 0.000, 0.000], [0.000, 0.500, 0.500], [0.500, 0.000, 0.500], [0.500, 0.500, 0.000], [0.000, 0.000, 0.500], [0.000, 0.500, 0.000], [0.500, 0.000, 0.000], [0.500, 0.500, 0.500], [0.250, 0.250, 0.250], [0.250, 0.750, 0.750], [0.750, 0.250, 0.750], [0.750, 0.750, 0.250], [0.250, 0.250, 0.750], [0.250, 0.750, 0.250], [0.750, 0.250, 0.250], [0.750, 0.750, 0.750]],
  "relative_energy_mev_per_atom": 251.8,
  "dft_energy_ev_per_atom": -3.38,
  "space_group": "F-43m",
  "magnetic_moment_mub_per_fu": 4.49
}

Entry 20:
{
  "formula": "CsNaMoPt",
  "functional": "GGA-PBE",
  "state": "optimized geometry",
  "cell": [[7.472, 0.000, 0.000], [0.000, 7.472, 0.000], [0.000, 0.000, 7.472]],
  "species": ["Cs", "Cs", "Cs", "Cs", "Na", "Na", "Na", "Na", "Mo", "Mo", "Mo", "Mo", "Pt", "Pt", "Pt", "Pt"],
  "frac_coords": [[0.000, 0.000, 0.000], [0.000, 0.500, 0.500], [0.500, 0.000, 0.500], [0.500, 0.500, 0.000], [0.250, 0.250, 0.750], [0.250, 0.750, 0.250], [0.750, 0.250, 0.250], [0.750, 0.750, 0.750], [0.000, 0.000, 0.500], [0.000, 0.500, 0.000], [0.500, 0.000, 0.000], [0.500, 0.500, 0.500], [0.250, 0.250, 0.250], [0.250, 0.750, 0.750], [0.750, 0.250, 0.750], [0.750, 0.750, 0.250]],
  "relative_energy_mev_per_atom": 18.3,
  "dft_energy_ev_per_atom": -3.62,
  "space_group": "F-43m",
  "magnetic_moment_mub_per_fu": 4.53
}